Material: CaNi2IO6
Method: DFT, PBE with a Hubbard U
State: optimized geometry

## Properties
Size of the total moment in μB per formula unit: 5.03
E in eV/atom: -5.002

abc: 5.4054 5.4064 5.7220
angles: 61.81 61.82 59.98
With the nearest neighbours (Å) after each atom.
Fractional coordinates of all 10 atoms:
Ca1 0.8025 0.8026 0.5923  6 O 2.29-2.43
Ni1 0.5244 0.5243 0.4270  6 O 2.05-2.22
O1 0.6115 0.2421 0.2304  2 Ni 2.05-2.13, 1 I 2.10
I1 0.3210 0.3210 0.0369  6 O 1.98-2.10
Ni2 0.0115 0.0116 0.9655  6 O 2.06-2.13
O2 0.7067 0.1557 0.7675  1 I 1.98, 2 Ni 2.06-2.22
O3 0.9160 0.6115 0.2304  2 Ni 2.05-2.13, 1 I 2.10
O4 0.1558 0.3702 0.7674  1 I 1.98, 1 Ni 2.06
O5 0.2421 0.9159 0.2304  2 Ni 2.05-2.13, 1 I 2.10
O6 0.3701 0.7066 0.7674  1 I 1.98, 2 Ni 2.06-2.22